First-principles (PBE) data for Nd3Ga4 after structural relaxation, as listed in Alexandria via LeMat-Bulk.

Cell: 4.256 11.157 14.412 Å, 90.00 90.00 90.00°
Space group Cmcm (No. 63)
Inequivalent atoms, fractional coordinates:
Nd  0.000  0.008  0.250
Nd  0.000  0.293  0.600
Ga  0.000  0.000  0.000
Ga  0.000  0.283  0.250
Ga  0.000  0.420  0.100

The density of states at the Fermi level comes out at 6.159 states/eV/f.u. Its volume is 24.44 Å³ per atom. The value obtained for the energy of formation from the pure elements is -13.19 kcal/mol of atoms.

---

First-principles (PBE) data for Nd2Ga13 after structural relaxation, as listed in Alexandria via LeMat-Bulk.

Cell: 7.2951 7.2951 21.9604 Å, 90.00 90.00 120.00°
Space group R-3m (No. 166, hexagonal axes)
Inequivalent atoms, fractional coordinates:
Nd  0.0000  0.0000  0.2326
Ga  0.0000  0.0000  0.0000
Ga  0.0558  0.5279  0.7873
Ga  0.1009  0.5505  0.0478

The density of states at the Fermi level comes out at 6.267 states/eV/f.u. Its volume is 22.49 Å³ per atom. The value obtained for the energy of formation from the pure elements is -3.35 kcal/mol of atoms.

---

First-principles (PBE) data for Nd3Ga8 after structural relaxation, as listed in Alexandria via LeMat-Bulk.

Cell: 4.298 4.312 25.521 Å, 90.00 90.00 90.00°
Space group Immm (No. 71)
Inequivalent atoms, fractional coordinates:
Nd  0.000  0.000  0.000
Nd  0.000  0.500  0.145
Ga  0.000  0.000  0.250
Ga  0.000  0.000  0.452
Ga  0.000  0.500  0.309
Ga  0.000  0.500  0.405

The density of states at the Fermi level comes out at 3.192 states/eV/f.u. Its volume is 21.50 Å³ per atom. The value obtained for the energy of formation from the pure elements is -13.73 kcal/mol of atoms.

---

Total moment (Bohr magnetons per cell)
0.02; 0.00; 0.00
E_tot (eV per atom)
-4.345; -3.404; -4.097